Entry from Alexandria via LeMat-Bulk: a relaxed HoNiS2 crystal (PBE).

Unit cell a=4.039 b=4.039 c=7.465 alpha=74.30 beta=74.30 gamma=60.00
Each line ends with the local moment (μB).
Atoms (fractional coordinates):
Ni1 0.000 0.000 0.000  0.89
S1 0.100 0.100 0.700  0.03
S2 0.900 0.900 0.300  0.03
Ho1 0.500 0.500 0.500  0.01

Output
* E_tot: -5.7063 eV/atom
* symmetry: R-3m
* calculated volume: 25.0 Å³/atom


Entry from Alexandria via LeMat-Bulk: a relaxed Ho6NiS5 crystal (PBE).

Unit cell a=6.767 b=6.767 c=6.751 alpha=99.71 beta=99.71 gamma=119.96
Atoms (fractional coordinates):
Ni1 0.000 0.000 0.000
S1 0.827 0.173 0.500
S2 0.665 0.335 0.000
S3 0.500 0.500 0.500
S4 0.335 0.665 0.000
S5 0.173 0.827 0.500
Ho1 0.404 0.079 0.242
Ho2 0.921 0.596 0.758
Ho3 0.243 0.243 0.754
Ho4 0.757 0.757 0.246
Ho5 0.079 0.404 0.242
Ho6 0.596 0.921 0.758

Output
* E_tot: -6.2187 eV/atom
* symmetry: C2/m
* calculated volume: 21.0 Å³/atom


Table of energy relative to the elements, uncorrected (meV/atom), in record order: -1053, -1728